#1
# ScAuBr3, optimized geometry, DFT PBE
data_ScAuBr3
_cell_length_a 5.351
_cell_length_b 5.351
_cell_length_c 5.351
_cell_angle_alpha 90.00
_cell_angle_beta 90.00
_cell_angle_gamma 90.00
_symmetry_space_group_name_H-M 'P 1'
_symmetry_Int_Tables_number 1
_symmetry_space_group_name_Hall 'P 1'
loop_
_atom_site_label
_atom_site_fract_x
_atom_site_fract_y
_atom_site_fract_z
Sc1 0.500 0.500 0.500
Au1 0.000 0.000 0.000
Br1 0.500 0.000 0.000
Br2 0.000 0.000 0.500
Br3 0.000 0.500 0.000
# V	30.65	Å³/atom
# SG	Pm-3m (221)
# total moment	0.2577	μB/atom

=====

#2
# ScAuBr3, optimized geometry, DFT PBE
data_ScAuBr3
_cell_length_a 5.282
_cell_length_b 5.282
_cell_length_c 5.282
_cell_angle_alpha 90.00
_cell_angle_beta 90.00
_cell_angle_gamma 90.00
_symmetry_space_group_name_H-M 'P 1'
_symmetry_Int_Tables_number 1
_symmetry_space_group_name_Hall 'P 1'
loop_
_atom_site_label
_atom_site_fract_x
_atom_site_fract_y
_atom_site_fract_z
Br1 0.000 0.000 0.500
Br2 0.500 0.000 0.000
Br3 0.000 0.500 0.000
Au1 0.500 0.500 0.500
Sc1 0.000 0.000 0.000
# V	29.47	Å³/atom
# SG	Pm-3m (221)
# total moment	0.0000	μB/atom

=====

What should be chosen as the most stable of them? Choose #2.

=====

#1
# SrAuSeBr2, optimized geometry, DFT PBE
data_SrAuSeBr2
_cell_length_a 5.271
_cell_length_b 5.271
_cell_length_c 5.354
_cell_angle_alpha 90.00
_cell_angle_beta 90.00
_cell_angle_gamma 90.00
_symmetry_space_group_name_H-M 'P 1'
_symmetry_Int_Tables_number 1
_symmetry_space_group_name_Hall 'P 1'
loop_
_atom_site_label
_atom_site_fract_x
_atom_site_fract_y
_atom_site_fract_z
Br1 0.000 0.500 0.000
Br2 0.500 0.000 0.000
Au1 0.000 0.000 0.000
Sr1 0.500 0.500 0.500
Se1 0.000 0.000 0.500
# V	29.75	Å³/atom
# SG	P4/mmm (123)
# total moment	0.0000	μB/atom

=====

#2
# SrAuSeBr2, optimized geometry, DFT PBE
data_SrAuSeBr2
_cell_length_a 5.831
_cell_length_b 5.831
_cell_length_c 6.206
_cell_angle_alpha 90.00
_cell_angle_beta 90.00
_cell_angle_gamma 90.00
_symmetry_space_group_name_H-M 'P 1'
_symmetry_Int_Tables_number 1
_symmetry_space_group_name_Hall 'P 1'
loop_
_atom_site_label
_atom_site_fract_x
_atom_site_fract_y
_atom_site_fract_z
Au1 0.500 0.500 0.500
Br1 0.000 0.500 0.000
Br2 0.500 0.000 0.000
Se1 0.000 0.000 0.500
Sr1 0.000 0.000 0.000
# V	42.20	Å³/atom
# SG	P4/mmm (123)
# total moment	0.2037	μB/atom

=====

What should be chosen as the most stable of them? Choose #1.